DFT (PBE) results for a relaxed structure of Tl3CdC.

POSCAR file:
```
Tl3CdC
1.0
5.7001 0.0000 0.0000
0.0000 5.7001 0.0000
0.0000 0.0000 5.7001
Tl Cd C
3 1 1
Cartesian
0.0000 0.0000 2.8500 Tl
0.0000 2.8500 0.0000 Tl
2.8500 0.0000 0.0000 Tl
0.0000 0.0000 0.0000 Cd
2.8500 2.8500 2.8500 C
```

Properties
DOS(E_F) = 2.20 states/eV per cell
energy relative to the elements = 1.56 eV/atom
E above lowest polymorph = 0.650 eV per atom